## w
# In3HW

An optimized crystal structure of In3HW (GGA-PBE, the Alexandria database).

## Properties
* total moment: 1.85 μB/f.u.

CIF file:
```
data_In3HW
_chemical_formula_sum 'In3 H1 W1'
_cell_length_a 4.444
_cell_length_b 4.444
_cell_length_c 4.444
_cell_angle_alpha 90.00
_cell_angle_beta 90.00
_cell_angle_gamma 90.00
_symmetry_space_group_name_H-M 'P m -3 m'
_symmetry_Int_Tables_number 221
_symmetry_space_group_name_Hall '-P 4 2 3'
loop_
_atom_site_label
_atom_site_type_symbol
_atom_site_fract_x
_atom_site_fract_y
_atom_site_fract_z
In1 In 0.000 0.000 0.500
H1 H 0.000 0.000 0.000
W1 W 0.500 0.500 0.500
```



## x
# In3HW

An optimized crystal structure of In3HW (GGA-PBE, the Alexandria database).

## Properties
* total moment: 1.25 μB/f.u.

CIF file:
```
data_In3HW
_chemical_formula_sum 'In3 H1 W1'
_cell_length_a 5.340
_cell_length_b 5.340
_cell_length_c 5.340
_cell_angle_alpha 90.00
_cell_angle_beta 90.00
_cell_angle_gamma 90.00
_symmetry_space_group_name_H-M 'P m -3 m'
_symmetry_Int_Tables_number 221
_symmetry_space_group_name_Hall '-P 4 2 3'
loop_
_atom_site_label
_atom_site_type_symbol
_atom_site_fract_x
_atom_site_fract_y
_atom_site_fract_z
In1 In 0.000 0.000 0.500
H1 H 0.500 0.500 0.500
W1 W 0.000 0.000 0.000
```



Quick one: most stable of them? w



## w
# Y2InH

An optimized crystal structure of Y2InH (GGA-PBE, the Alexandria database).

## Properties
* total moment: 0.00 μB/f.u.

CIF file:
```
data_Y2InH
_chemical_formula_sum 'Y6 In3 H3'
_cell_length_a 3.6171
_cell_length_b 3.6171
_cell_length_c 23.2630
_cell_angle_alpha 90.00
_cell_angle_beta 90.00
_cell_angle_gamma 120.00
_symmetry_space_group_name_H-M 'R -3 m'
_symmetry_Int_Tables_number 166
_symmetry_space_group_name_Hall '-R 3 2"'
loop_
_atom_site_label
_atom_site_type_symbol
_atom_site_fract_x
_atom_site_fract_y
_atom_site_fract_z
Y1 Y 0.0000 0.0000 0.2259
In1 In 0.0000 0.0000 0.0000
H1 H 0.0000 0.0000 0.5000
```



## x
# Y2InH

An optimized crystal structure of Y2InH (GGA-PBE, the Alexandria database).

## Properties
* total moment: 0.00 μB/f.u.

CIF file:
```
data_Y2InH
_chemical_formula_sum 'Y8 In4 H4'
_cell_length_a 7.233
_cell_length_b 7.233
_cell_length_c 7.233
_cell_angle_alpha 90.00
_cell_angle_beta 90.00
_cell_angle_gamma 90.00
_symmetry_space_group_name_H-M 'F m -3 m'
_symmetry_Int_Tables_number 225
_symmetry_space_group_name_Hall '-F 4 2 3'
loop_
_atom_site_label
_atom_site_type_symbol
_atom_site_fract_x
_atom_site_fract_y
_atom_site_fract_z
Y1 Y 0.250 0.250 0.250
In1 In 0.000 0.000 0.000
H1 H 0.000 0.000 0.500
```



## y
# Y2InH

An optimized crystal structure of Y2InH (GGA-PBE, the Alexandria database).

## Properties
* total moment: 0.00 μB/f.u.

CIF file:
```
data_Y2InH
_chemical_formula_sum 'Y8 In4 H4'
_cell_length_a 6.940
_cell_length_b 6.940
_cell_length_c 7.487
_cell_angle_alpha 90.00
_cell_angle_beta 90.00
_cell_angle_gamma 90.00
_symmetry_space_group_name_H-M 'I -4 2 d'
_symmetry_Int_Tables_number 122
_symmetry_space_group_name_Hall 'I -4 2bw'
loop_
_atom_site_label
_atom_site_type_symbol
_atom_site_fract_x
_atom_site_fract_y
_atom_site_fract_z
Y1 Y 0.149 0.250 0.125
In1 In 0.000 0.000 0.500
H1 H 0.000 0.000 0.000
```



Quick one: most stable of them? y



## w
# Y2InH

An optimized crystal structure of Y2InH (GGA-PBE, the Alexandria database).

## Properties
* total moment: 0.00 μB/f.u.

CIF file:
```
data_Y2InH
_chemical_formula_sum 'Y4 In2 H2'
_cell_length_a 4.554
_cell_length_b 4.554
_cell_length_c 8.514
_cell_angle_alpha 90.00
_cell_angle_beta 90.00
_cell_angle_gamma 90.00
_symmetry_space_group_name_H-M 'P 4/n m m'
_symmetry_Int_Tables_number 129
loop_
_symmetry_equiv_pos_as_xyz
'x,y,z'
'-x,-y,-z'
'-y+1/2,x,z'
'y+1/2,-x,-z'
'-x+1/2,-y+1/2,z'
'x+1/2,y+1/2,-z'
'y,-x+1/2,z'
'-y,x+1/2,-z'
'x+1/2,-y,-z'
'-x+1/2,y,z'
'-y,-x,-z'
'y,x,z'
'-x,y+1/2,-z'
'x,-y+1/2,z'
'y+1/2,x+1/2,-z'
'-y+1/2,-x+1/2,z'
loop_
_atom_site_label
_atom_site_type_symbol
_atom_site_fract_x
_atom_site_fract_y
_atom_site_fract_z
Y1 Y 0.250 0.250 0.152
Y2 Y 0.250 0.750 0.500
In1 In 0.250 0.250 0.778
H1 H 0.250 0.250 0.419
```



## x
# Y2InH

An optimized crystal structure of Y2InH (GGA-PBE, the Alexandria database).

## Properties
* total moment: 0.00 μB/f.u.

CIF file:
```
data_Y2InH
_chemical_formula_sum 'Y8 In4 H4'
_cell_length_a 4.325
_cell_length_b 6.769
_cell_length_c 12.457
_cell_angle_alpha 90.00
_cell_angle_beta 90.00
_cell_angle_gamma 90.00
_symmetry_space_group_name_H-M 'I m m m'
_symmetry_Int_Tables_number 71
_symmetry_space_group_name_Hall '-I 2 2'
loop_
_atom_site_label
_atom_site_type_symbol
_atom_site_fract_x
_atom_site_fract_y
_atom_site_fract_z
Y1 Y 0.000 0.000 0.198
Y2 Y 0.000 0.256 0.500
In1 In 0.000 0.500 0.124
H1 H 0.000 0.500 0.378
```



Quick one: most stable of them? w



## w
# YIn2H

An optimized crystal structure of YIn2H (GGA-PBE, the Alexandria database).

## Properties
* total moment: 0.00 μB/f.u.

CIF file:
```
data_YIn2H
_chemical_formula_sum 'Y4 In8 H4'
_cell_length_a 6.532
_cell_length_b 6.532
_cell_length_c 8.416
_cell_angle_alpha 90.00
_cell_angle_beta 90.00
_cell_angle_gamma 90.00
_symmetry_space_group_name_H-M 'I -4 2 d'
_symmetry_Int_Tables_number 122
_symmetry_space_group_name_Hall 'I -4 2bw'
loop_
_atom_site_label
_atom_site_type_symbol
_atom_site_fract_x
_atom_site_fract_y
_atom_site_fract_z
Y1 Y 0.000 0.000 0.000
In1 In 0.111 0.250 0.625
H1 H 0.000 0.000 0.500
```



## x
# YIn2H

An optimized crystal structure of YIn2H (GGA-PBE, the Alexandria database).

## Properties
* total moment: 0.00 μB/f.u.

CIF file:
```
data_YIn2H
_chemical_formula_sum 'Y4 In8 H4'
_cell_length_a 7.169
_cell_length_b 7.169
_cell_length_c 7.169
_cell_angle_alpha 90.00
_cell_angle_beta 90.00
_cell_angle_gamma 90.00
_symmetry_space_group_name_H-M 'F m -3 m'
_symmetry_Int_Tables_number 225
_symmetry_space_group_name_Hall '-F 4 2 3'
loop_
_atom_site_label
_atom_site_type_symbol
_atom_site_fract_x
_atom_site_fract_y
_atom_site_fract_z
Y1 Y 0.000 0.000 0.000
In1 In 0.250 0.250 0.250
H1 H 0.000 0.000 0.500
```



Quick one: most stable of them? w